Record 1
DFT (PBE) results for crystalline LiHf5Sn5 at its relaxed geometry.

Unit cell a=6.599 b=6.599 c=8.451 alpha=111.52 beta=111.52 gamma=50.01
Atoms (fractional coordinates):
Li (0.000, 0.000, 0.000)
Hf (0.000, 0.000, 0.500)
Hf (0.333, 0.333, 0.633)
Hf (0.399, 0.399, 0.312)
Hf (0.601, 0.601, 0.688)
Hf (0.667, 0.667, 0.367)
Sn (0.148, 0.148, 0.296)
Sn (0.211, 0.211, 0.883)
Sn (0.500, 0.500, 0.000)
Sn (0.789, 0.789, 0.117)
Sn (0.852, 0.852, 0.704)

Energy of formation = -0.152 eV/f.u.
Total magnetic moment = 0.0000 μB per atom



Record 2
DFT (PBE) results for crystalline LiHf2Sn at its relaxed geometry.

Unit cell a=6.171 b=6.171 c=6.171 alpha=101.79 beta=101.79 gamma=126.26
Atoms (fractional coordinates):
Li (0.000, 0.000, 0.000)
Li (0.750, 0.250, 0.500)
Hf (0.113, 0.125, 0.488)
Hf (0.375, 0.887, 0.012)
Hf (0.637, 0.625, 0.512)
Hf (0.875, 0.363, 0.988)
Sn (0.250, 0.750, 0.500)
Sn (0.500, 0.500, 0.000)

Energy of formation = 1.059 eV/f.u.
Total magnetic moment = 0.0000 μB per atom



Record 3
DFT (PBE) results for crystalline LiHfSn3 at its relaxed geometry.

Unit cell a=4.907 b=4.907 c=4.907 alpha=90.00 beta=90.00 gamma=90.00
Atoms (fractional coordinates):
Li (0.000, 0.000, 0.000)
Hf (0.500, 0.500, 0.500)
Sn (0.000, 0.000, 0.500)
Sn (0.000, 0.500, 0.000)
Sn (0.500, 0.000, 0.000)

Energy of formation = 2.115 eV/f.u.
Total magnetic moment = 0.0000 μB per atom



Record 4
DFT (PBE) results for crystalline LiHfTcSn at its relaxed geometry.

Unit cell a=4.605 b=4.605 c=4.605 alpha=60.00 beta=60.00 gamma=60.00
Atoms (fractional coordinates):
Li (0.000, 0.000, 0.000)
Hf (0.750, 0.750, 0.750)
Tc (0.500, 0.500, 0.500)
Sn (0.250, 0.250, 0.250)

Energy of formation = -0.908 eV/f.u.
Total magnetic moment = 0.0000 μB per atom



> The lowest energy of formation belongs to which entry?

LiHfTcSn